## SnBi3Se (SCAN)

Data for a crystal of SnBi3Se relaxed with PBEsol.

DOS at the Fermi energy, states/eV per atom: 1.133
Spin magnetization, Bohr magnetons per cell: 0.00
VASP energy, eV/cell: -288.59

Cell lengths 5.4960, 5.4960, 5.4960 Å; angles 90.00, 90.00, 90.00 degrees
With the nearest neighbours (Å) after each atom.
Space group Pm-3m (No. 221)
Inequivalent atoms, fractional coordinates:
Sn 0.0000 0.0000 0.0000 x1  12 Bi 3.89
Bi 0.0000 0.5000 0.5000 x3  2 Se 2.75
Se 0.5000 0.5000 0.5000 x1  6 Bi 2.75

---

## YMg2Pb (SCAN)

Data for a crystal of YMg2Pb relaxed with PBEsol.

DOS at the Fermi energy, states/eV per atom: 0.786
Formation enthalpy at 0 K, eV/atom: -0.291
Spin magnetization, Bohr magnetons per cell: 0.00

Cell lengths 3.6240, 5.1266, 11.0697 Å; angles 90.00, 90.00, 90.00 degrees
With the nearest neighbours (Å) after each atom.
Space group Immm (No. 71)
Inequivalent atoms, fractional coordinates:
Y 0.0000 0.0000 0.0000 x2  4 Pb 3.14, 4 Mg 3.41
Mg 0.0000 0.5000 0.2395 x4  4 Mg 3.15, 2 Pb 3.21, 2 Y 3.41
Pb 0.0000 0.0000 0.5000 x2  4 Y 3.14, 4 Mg 3.21

---

## CaMnTc2 (SCAN)

Data for a crystal of CaMnTc2 relaxed with PBEsol.

Distance to the lowest polymorph of the same formula, kJ/mol of formula units: 34
DOS at the Fermi energy, states/eV per atom: 0.797
Formation enthalpy at 0 K, eV/atom: 0.504
Spin magnetization, Bohr magnetons per cell: 6.80

Cell lengths 5.3695, 9.1901, 2.6111 Å; angles 90.00, 106.90, 90.00 degrees
With the nearest neighbours (Å) after each atom.
Space group C2/m (No. 12)
Inequivalent atoms, fractional coordinates:
Ca 0.0000 0.0000 0.0000 x2  2 Ca 2.61, 2 Mn 2.68, 4 Tc 2.79
Mn 0.0000 0.5000 0.0000 x2  2 Mn 2.61, 2 Ca 2.68, 4 Tc 2.79
Tc 0.2500 0.2500 0.5000 x4  4 Tc 2.61-2.68, 2 Mn 2.79, 2 Ca 2.79

---

## LiRhSCl2 (SCAN)

Data for a crystal of LiRhSCl2 relaxed with PBEsol.

DOS at the Fermi energy, states/eV per atom: 0.555
Spin magnetization, Bohr magnetons per cell: 0.00
VASP energy, eV/cell: -62.20

Cell lengths 5.2573, 5.2573, 4.2116 Å; angles 90.00, 90.00, 90.00 degrees
With the nearest neighbours (Å) after each atom.
Space group P4/mmm (No. 123)
Inequivalent atoms, fractional coordinates:
Li 0.0000 0.0000 0.0000 x1  8 Cl 3.37, 4 Rh 3.72
Rh 0.5000 0.5000 0.0000 x1  2 S 2.11
S 0.5000 0.5000 0.5000 x1  2 Rh 2.11
Cl 0.0000 0.5000 0.5000 x2  2 S 2.63

---

## Ta2InCl (SCAN)

Data for a crystal of Ta2InCl relaxed with PBEsol.

Distance to the lowest polymorph of the same formula, kJ/mol of formula units: 0
DOS at the Fermi energy, states/eV per atom: 0.601
Spin magnetization, Bohr magnetons per cell: 0.00

Cell lengths 3.4796, 4.7093, 9.9621 Å; angles 90.00, 90.00, 90.00 degrees
With the nearest neighbours (Å) after each atom.
Space group Cmm2 (No. 35)
Inequivalent atoms, fractional coordinates:
Ta 0.0000 0.0000 0.0000 x2  2 Cl 2.55, 2 Ta 2.78
Ta 0.0000 0.5000 0.2175 x2  6 Ta 2.78-2.93, 2 In 3.01
In 0.0000 0.0000 0.4636 x2  4 In 2.93, 2 Ta 3.01
Cl 0.0000 0.5000 0.8135 x2  2 Ta 2.55

---

## AsBrCl2 (SCAN)

Data for a crystal of AsBrCl2 relaxed with PBEsol.

Distance to the lowest polymorph of the same formula, kJ/mol of formula units: 0
DOS at the Fermi energy, states/eV per atom: 0.000
Spin magnetization, Bohr magnetons per cell: 0.00

Cell lengths 6.1463, 3.6884, 6.7146 Å; angles 90.00, 111.93, 90.00 degrees
With the nearest neighbours (Å) after each atom.
Space group Pm (No. 6)
Inequivalent atoms, fractional coordinates:
As 0.0000 0.0000 0.0000 x1  1 Cl 2.17
Br 0.8732 0.5000 0.2191 x1  2 As 2.65
Cl 0.1707 0.5000 0.8464 x1  2 As 2.52
Cl 0.6676 0.0000 0.7301 x1  1 As 2.17